No. 1
Below is a PBEsol-optimized structure of NiP4H16N2O16, with properties calculated at the meta-GGA SCAN level.

Cell: 7.0426 7.2202 7.6091 Å, 80.74 71.46 90.11°
With the nearest neighbours (Å) after each atom.
Fractional coordinates of all 39 atoms:
O (0.7445, 0.0552, 0.8420)  1 H 1.13
O (0.9518, 0.2796, 0.2128)  2 H 1.00
O (0.7636, 0.3198, 0.5746)  1 H 1.33
O (0.0738, 0.2397, 0.6426)  2 P 1.61
O (0.7726, 0.9781, 0.1539)  1 H 1.29
O (0.2444, 0.3754, 0.8517)  1 P 1.50
O (0.7556, 0.6246, 0.1483)  1 P 1.50
O (0.2274, 0.0219, 0.8461)  1 H 1.29
O (0.0482, 0.7204, 0.7872)  2 H 1.00
O (0.2364, 0.6802, 0.4254)  1 H 1.33
O (0.5648, 0.7530, 0.4445)  1 H 1.10
O (0.2555, 0.9448, 0.1580)  1 H 1.13
O (0.8041, 0.3869, 0.8836)  1 P 1.53
O (0.1959, 0.6131, 0.1164)  1 P 1.53
O (0.4352, 0.2470, 0.5555)  1 H 1.10
O (0.9262, 0.7603, 0.3574)  2 P 1.61
H (0.5584, 0.3229, 0.0917)  1 N 1.04
H (0.1156, 0.6959, 0.6571)  1 O 1.00
H (0.4198, 0.7207, 0.4280)  1 O 1.10
H (0.4264, 0.2891, 0.3264)  1 N 1.05
H (0.3217, 0.3994, 0.1658)  1 N 1.05
H (0.3555, 0.1649, 0.1842)  1 N 1.04
H (0.1177, 0.8352, 0.8019)  1 O 1.00
H (0.7584, 0.0143, 0.9870)  1 O 1.13
H (0.8823, 0.1648, 0.1981)  1 O 1.00
H (0.8844, 0.3041, 0.3429)  1 O 1.00
H (0.6783, 0.6006, 0.8342)  1 N 1.05
H (0.5736, 0.7109, 0.6736)  1 N 1.05
H (0.5802, 0.2793, 0.5720)  1 O 1.10
H (0.4416, 0.6771, 0.9083)  1 N 1.04
H (0.2416, 0.9857, 0.0130)  1 O 1.13
H (0.6445, 0.8351, 0.8158)  1 N 1.04
P (0.1633, 0.7453, 0.2596)  4 O 1.52-1.61
P (0.8367, 0.2547, 0.7404)  4 O 1.52-1.61
P (0.7503, 0.7769, 0.2632)  4 O 1.50-1.61
P (0.2497, 0.2231, 0.7368)  4 O 1.50-1.61
N (0.5838, 0.7058, 0.8086)  4 H 1.04-1.05
N (0.4162, 0.2942, 0.1914)  4 H 1.04-1.05
Ni (0.0000, 0.5000, 0.0000)  6 O 2.02-2.09

Computed properties:
**Total DFT energy (no corrections)**: -7.4150 eV per atom
**Space-group type**: P-1


No. 2
Below is a PBEsol-optimized structure of Sc2PbSe4, with properties calculated at the meta-GGA SCAN level.

Cell: 3.8709 12.1471 14.1570 Å, 90.00 90.00 90.00°
With the nearest neighbours (Å) after each atom.
Fractional coordinates of all 28 atoms:
Sc (0.7500, 0.0528, 0.8888)  6 Se 2.65-2.73
Sc (0.7500, 0.0837, 0.4079)  6 Se 2.66-2.75
Sc (0.2500, 0.4472, 0.3888)  6 Se 2.65-2.73
Sc (0.2500, 0.9163, 0.5921)  6 Se 2.66-2.75
Sc (0.2500, 0.9472, 0.1112)  6 Se 2.65-2.73
Sc (0.2500, 0.4163, 0.9079)  6 Se 2.66-2.75
Sc (0.7500, 0.5528, 0.6112)  6 Se 2.65-2.73
Sc (0.7500, 0.5837, 0.0921)  6 Se 2.66-2.75
Se (0.2500, 0.9067, 0.9275)  3 Sc 2.65-2.68
Se (0.2500, 0.6248, 0.9662)  3 Sc 2.66-2.68
Se (0.7500, 0.9652, 0.7151)  3 Sc 2.67-2.68
Se (0.7500, 0.2977, 0.3442)  3 Sc 2.73-2.75
Se (0.2500, 0.2023, 0.8442)  3 Sc 2.73-2.75
Se (0.2500, 0.0348, 0.2849)  3 Sc 2.67-2.68
Se (0.7500, 0.0933, 0.0725)  3 Sc 2.65-2.68
Se (0.7500, 0.3752, 0.0338)  3 Sc 2.66-2.68
Se (0.7500, 0.7977, 0.1558)  3 Sc 2.73-2.75
Se (0.7500, 0.4652, 0.7849)  3 Sc 2.67-2.68
Se (0.7500, 0.8752, 0.4662)  3 Sc 2.66-2.68
Se (0.2500, 0.7023, 0.6558)  3 Sc 2.73-2.75
Se (0.2500, 0.5348, 0.2151)  3 Sc 2.67-2.68
Se (0.2500, 0.1248, 0.5338)  3 Sc 2.66-2.68
Se (0.2500, 0.4067, 0.5725)  3 Sc 2.65-2.68
Se (0.7500, 0.5933, 0.4275)  3 Sc 2.65-2.68
Pb (0.2500, 0.2573, 0.1784)  8 Se 3.08-3.41
Pb (0.7500, 0.2427, 0.6784)  8 Se 3.08-3.41
Pb (0.7500, 0.7427, 0.8216)  8 Se 3.08-3.41
Pb (0.2500, 0.7573, 0.3216)  8 Se 3.08-3.41

Computed properties:
**Energy relative to the elements, uncorrected**: -1.529 eV per atom
**Space-group type**: Pnma


No. 3
Below is a PBEsol-optimized structure of SbMoPb2, with properties calculated at the meta-GGA SCAN level.

Cell: 3.6477 5.0797 5.4280 Å, 90.00 100.41 90.00°
With the nearest neighbours (Å) after each atom.
Fractional coordinates of all 4 atoms:
Mo (0.5000, 0.5000, 0.5000)  2 Sb 2.71, 4 Pb 2.97
Pb (0.1840, 0.0000, 0.2693)  2 Mo 2.97, 3 Pb 2.99-3.08, 2 Sb 3.24
Pb (0.8160, 0.0000, 0.7307)  2 Mo 2.97, 3 Pb 2.99-3.08, 2 Sb 3.24
Sb (0.5000, 0.5000, 0.0000)  2 Mo 2.71

Computed properties:
**Energy relative to the elements, uncorrected**: 0.690 eV per atom
**Space-group type**: P2/m


No. 4
Below is a PBEsol-optimized structure of LiMn2InP, with properties calculated at the meta-GGA SCAN level.

Cell: 4.3771 4.3771 4.4070 Å, 90.00 90.00 90.00°
With the nearest neighbours (Å) after each atom.
Fractional coordinates of all 5 atoms:
Li (0.0000, 0.0000, 0.5000)  2 P 2.20
P (0.0000, 0.0000, 0.0000)  4 Mn 2.19, 2 Li 2.20
In (0.5000, 0.5000, 0.5000)  4 Li 3.10, 8 Mn 3.11
Mn (0.5000, 0.0000, 0.0000)  2 P 2.19
Mn (0.0000, 0.5000, 0.0000)  2 P 2.19

Computed properties:
**Formation enthalpy at 0 K**: -0.226 eV per atom
**Space-group type**: P4/mmm


No. 5
Below is a PBEsol-optimized structure of BaBe2FeB, with properties calculated at the meta-GGA SCAN level.

Cell: 4.5761 4.8596 4.8596 Å, 90.00 90.00 90.00°
With the nearest neighbours (Å) after each atom.
Fractional coordinates of all 5 atoms:
Fe (0.5000, 0.5000, 0.5000)  8 Be 3.34, 4 B 3.44
Ba (0.0000, 0.0000, 0.0000)  2 B 2.29, 4 Be 2.43
B (0.5000, 0.0000, 0.0000)  2 Ba 2.29
Be (0.0000, 0.5000, 0.0000)  2 Ba 2.43
Be (0.0000, 0.0000, 0.5000)  2 Ba 2.43

Computed properties:
**Formation enthalpy at 0 K**: 2.812 eV per atom
**Space-group type**: P4/mmm


No. 6
Below is a PBEsol-optimized structure of Fe2HgSb, with properties calculated at the meta-GGA SCAN level.

Cell: 4.4466 4.4466 4.4466 Å, 60.00 60.00 60.00°
With the nearest neighbours (Å) after each atom.
Fractional coordinates of all 4 atoms:
Fe (0.2500, 0.2500, 0.2500)  4 Hg 2.72, 4 Sb 2.72
Fe (0.7500, 0.7500, 0.7500)  4 Hg 2.72, 4 Sb 2.72
Sb (0.0000, 0.0000, 0.0000)  8 Fe 2.72
Hg (0.5000, 0.5000, 0.5000)  8 Fe 2.72

Computed properties:
**Energy relative to the elements, uncorrected**: 0.530 eV per atom
**Space-group type**: Fm-3m